1.
A relaxed structure of HfCuTe5Pb2. Source: Alexandria, functional PBE-GGA.

Properties
Uncorrected formation energy, eV/atom: -0.41
Mass density, g/cm³: 7.6
Raw total energy, eV per formula unit: -40.894

Cell: 9.864 9.864 14.179 Å, 90.00 90.00 155.80°
Element x y z (fractional)
Hf  0.200  0.800  0.500
Hf  0.800  0.200  0.000
Cu  0.417  0.583  0.934
Cu  0.583  0.417  0.434
Te  0.052  0.948  0.535
Te  0.279  0.721  0.144
Te  0.297  0.703  0.857
Te  0.350  0.650  0.463
Te  0.477  0.523  0.769
Te  0.523  0.477  0.269
Te  0.650  0.350  0.963
Te  0.703  0.297  0.357
Te  0.721  0.279  0.644
Te  0.948  0.052  0.035
Pb  0.096  0.904  0.760
Pb  0.115  0.885  0.119
Pb  0.885  0.115  0.619
Pb  0.904  0.096  0.260

2.
A relaxed structure of Hf2CuTePb. Source: Alexandria, functional PBE-GGA.

Properties
Uncorrected formation energy, eV/atom: 0.51
Mass density, g/cm³: 10.1
Raw total energy, eV per formula unit: -28.303

Cell: 5.087 5.087 4.815 Å, 90.00 90.00 90.00°
Element x y z (fractional)
Hf  0.000  0.500  0.000
Hf  0.500  0.000  0.000
Cu  0.000  0.000  0.000
Te  0.500  0.500  0.500
Pb  0.000  0.000  0.500